# BaCdS2Cl

BaCdS2Cl at its PBEsol-relaxed geometry (SCAN, the Alexandria database).

Calculated volume   38.70 A^3/atom
Space group   P4/mmm (123)
Energy relative to the elements, uncorrected   -107 kJ/mol of formula units
Total magnetization   3.0 μB/f.u.
DOS(E_F)   6.5 states/eV per cell

abc: 5.819 5.819 5.715
angles: 90.00 90.00 90.00
Fractional positions:
Ba 0.000 0.000 0.000
Cd 0.500 0.500 0.500
S 0.000 0.500 0.000
S 0.500 0.000 0.000
Cl 0.000 0.000 0.500

***

# TaCo2Ru

TaCo2Ru at its PBEsol-relaxed geometry (SCAN, the Alexandria database).

Calculated volume   12.49 A^3/atom
Energy of formation   -125 meV/atom
Space group   P4/mmm (123)
Relative energy among the computed polymorphs   0 meV per atom
Total magnetization   0.8 μB/f.u.
DOS(E_F)   2.6 states/eV per cell

abc: 3.693 3.693 3.663
angles: 90.00 90.00 90.00
Fractional positions:
Ta 0.000 0.000 0.000
Co 0.000 0.500 0.500
Co 0.500 0.000 0.500
Ru 0.500 0.500 0.000

***

# KNiTe

KNiTe at its PBEsol-relaxed geometry (SCAN, the Alexandria database).

Calculated volume   27.32 A^3/atom
Space group   F-43m (216)
Energy relative to the elements, uncorrected   64 kJ/mol of formula units
Total magnetization   1.0 μB/f.u.
DOS(E_F)   5.4 states/eV per cell

abc: 4.876 4.876 4.876
angles: 60.00 60.00 60.00
Fractional positions:
K 0.000 0.000 0.000
Ni 0.500 0.500 0.500
Te 0.250 0.250 0.250

***

# Mo3Cl

Mo3Cl at its PBEsol-relaxed geometry (SCAN, the Alexandria database).

Calculated volume   15.50 A^3/atom
Space group   Cmmm (65)
Relative energy among the computed polymorphs   0 meV per atom
Energy relative to the elements, uncorrected   132 kJ/mol of formula units
Total magnetization   0.0 μB/f.u.
DOS(E_F)   2.7 states/eV per cell

abc: 2.797 2.797 8.541
angles: 90.00 90.00 111.87
Fractional positions:
Mo 0.000 0.000 0.000
Mo 0.500 0.500 0.246
Mo 0.500 0.500 0.754
Cl 0.000 0.000 0.500

***

# TaAgMo2

TaAgMo2 at its PBEsol-relaxed geometry (SCAN, the Alexandria database).

Calculated volume   16.23 A^3/atom
Energy of formation   322 meV/atom
Space group   P2/m (10)
Relative energy among the computed polymorphs   116 meV per atom
Total magnetization   0.0 μB/f.u.
DOS(E_F)   3.5 states/eV per cell

abc: 2.681 4.594 5.349
angles: 90.00 99.94 90.00
Fractional positions:
Ta 0.000 0.000 0.000
Ag 0.500 0.000 0.500
Mo 0.268 0.500 0.765
Mo 0.732 0.500 0.235

***

# Zn2RuBr

Zn2RuBr at its PBEsol-relaxed geometry (SCAN, the Alexandria database).

Calculated volume   16.21 A^3/atom
Space group   R3m (160)
Relative energy among the computed polymorphs   281 meV per atom
Energy relative to the elements, uncorrected   166 kJ/mol of formula units
Total magnetization   0.0 μB/f.u.
DOS(E_F)   3.4 states/eV per cell

abc: 8.375 8.375 8.375
angles: 20.80 20.80 20.80
Fractional positions:
Zn 0.000 0.000 0.000
Zn 0.253 0.253 0.253
Ru 0.745 0.745 0.745
Br 0.487 0.487 0.487

***

# BaLi2Mn

BaLi2Mn at its PBEsol-relaxed geometry (SCAN, the Alexandria database).

Calculated volume   26.60 A^3/atom
Energy of formation   269 meV/atom
Space group   F-43m (216)
Relative energy among the computed polymorphs   16 meV per atom
Total magnetization   3.7 μB/f.u.
DOS(E_F)   2.8 states/eV per cell

abc: 5.319 5.319 5.319
angles: 60.00 60.00 60.00
Fractional positions:
Ba 0.000 0.000 0.000
Li 0.500 0.500 0.500
Li 0.750 0.750 0.750
Mn 0.250 0.250 0.250

***

# FePtF3

FePtF3 at its PBEsol-relaxed geometry (SCAN, the Alexandria database).

Calculated volume   12.61 A^3/atom
Space group   Pm-3m (221)
Relative energy among the computed polymorphs   0 meV per atom
Energy relative to the elements, uncorrected   -479 kJ/mol of formula units
Total magnetization   5.2 μB/f.u.
DOS(E_F)   5.6 states/eV per cell

abc: 3.980 3.980 3.980
angles: 90.00 90.00 90.00
Fractional positions:
Fe 0.000 0.000 0.000
Pt 0.500 0.500 0.500
F 0.000 0.000 0.500
F 0.000 0.500 0.000
F 0.500 0.000 0.000

***

# Zr2CuAu

Zr2CuAu at its PBEsol-relaxed geometry (SCAN, the Alexandria database).

Calculated volume   18.13 A^3/atom
Energy of formation   -452 meV/atom
Space group   P4mm (99)
Total magnetization   0.0 μB/f.u.
DOS(E_F)   2.2 states/eV per cell

abc: 3.380 3.380 6.345
angles: 90.00 90.00 90.00
Fractional positions:
Zr 0.000 0.000 0.000
Zr 0.500 0.500 0.307
Cu 0.500 0.500 0.772
Au 0.000 0.000 0.551

***

# Sc2AgTe

Sc2AgTe at its PBEsol-relaxed geometry (SCAN, the Alexandria database).

Calculated volume   20.69 A^3/atom
Space group   I4/mmm (139)
Energy relative to the elements, uncorrected   -214 kJ/mol of formula units
Total magnetization   1.2 μB/f.u.
DOS(E_F)   2.2 states/eV per cell

abc: 5.198 5.198 5.198
angles: 128.93 128.93 75.13
Fractional positions:
Sc 0.250 0.750 0.500
Sc 0.750 0.250 0.500
Ag 0.000 0.000 0.000
Te 0.500 0.500 0.000

***

# BeSbTe2I

BeSbTe2I at its PBEsol-relaxed geometry (SCAN, the Alexandria database).

Calculated volume   25.57 A^3/atom
Space group   P4/mmm (123)
Energy relative to the elements, uncorrected   204 kJ/mol of formula units
Total magnetization   0.0 μB/f.u.
DOS(E_F)   3.5 states/eV per cell

abc: 4.862 4.862 5.408
angles: 90.00 90.00 90.00
Fractional positions:
Be 0.000 0.000 0.000
Sb 0.000 0.000 0.500
Te 0.000 0.500 0.000
Te 0.500 0.000 0.000
I 0.500 0.500 0.500

***

# ScH2Pt2

ScH2Pt2 at its PBEsol-relaxed geometry (SCAN, the Alexandria database).

Calculated volume   11.02 A^3/atom
Space group   I4/mmm (139)
Total energy   -164.647 eV per cell
Total magnetization   0.0 μB/f.u.
DOS(E_F)   1.2 states/eV per cell

abc: 5.021 5.021 5.021
angles: 138.46 138.46 60.20
Fractional positions:
Sc 0.000 0.000 0.000
H 0.250 0.750 0.500
H 0.750 0.250 0.500
Pt 0.343 0.343 0.000
Pt 0.657 0.657 0.000